NaTlI2 | Alexandria via LeMat-Bulk | PBEsol | optimized geometry; ΔE_f (raw) = -0.80 eV/atom
1.0
-5.784 -4.608 0.732
3.225 -4.791 -4.677
4.565 1.462 7.554
I Na Tl
4 2 2
Cartesian
3.210 -0.236 5.018
1.718 -4.620 3.354
-2.520 -5.311 0.751
1.603 -5.707 -1.905
-1.280 -4.699 -1.972
-1.250 -3.923 3.157
3.255 -4.014 0.452
0.000 0.000 0.000

GeSb2MoI | Alexandria via LeMat-Bulk | PBEsol | optimized geometry; ΔE_f (raw) = 1.33 eV/atom
1.0
-3.316 3.231 2.448
-2.539 0.811 -4.509
-3.252 -4.159 1.083
Ge Mo Sb I
1 1 2 1
Cartesian
0.000 0.000 0.000
-4.554 -0.058 -0.489
-1.658 1.615 1.224
-1.269 0.406 -2.254
-1.626 -2.079 0.541

P4Pb3 | Alexandria via LeMat-Bulk | PBEsol | optimized geometry; formation enthalpy at 0 K = 182 meV per atom
1.0
3.258 0.000 0.000
0.000 3.258 0.000
-1.629 -1.629 13.976
Pb P
3 4
Cartesian
0.000 0.000 0.000
1.629 1.629 5.642
0.000 0.000 8.334
0.000 0.000 11.591
1.629 1.629 2.385
0.000 0.000 3.093
1.629 1.629 10.883

LaTm3S6 | Alexandria via LeMat-Bulk | PBEsol | optimized geometry; ΔE_f (raw) = -2.17 eV/atom
1.0
-2.616 -0.855 2.791
5.371 -9.166 2.226
4.074 8.218 6.333
S Tm La
12 6 2
Cartesian
2.404 3.584 7.478
3.764 -8.712 4.987
5.082 -4.254 7.588
1.747 2.452 3.763
5.311 1.570 9.585
1.518 -3.372 1.766
3.065 6.910 6.364
4.425 -5.386 3.873
0.679 -1.341 4.354
4.146 -2.208 4.585
2.683 0.406 6.766
6.150 -0.461 6.997
2.850 0.058 4.065
4.482 -6.576 6.315
7.831 0.471 8.858
3.979 -1.861 7.286
2.347 4.774 5.036
-1.001 -2.274 2.493
5.023 2.285 6.782
1.806 -4.087 4.569

LiYCo2 | Alexandria via LeMat-Bulk | PBEsol | optimized geometry; formation enthalpy at 0 K = 288 meV per atom; energy above the lowest structure with this stoichiometry = 0.080 eV per atom
1.0
3.930 0.000 0.000
0.000 3.930 0.000
-1.965 -1.965 3.744
Co Y Li
2 1 1
Cartesian
0.000 1.965 1.872
1.965 0.000 1.872
0.000 0.000 0.000
1.965 1.965 0.000

MgCoPt2 | Alexandria via LeMat-Bulk | PBEsol | optimized geometry; formation enthalpy at 0 K = -148 meV per atom
1.0
-1.900 0.840 -3.807
0.646 -2.644 -3.377
-3.223 -2.531 -1.421
Co Mg Pt
1 1 2
Cartesian
-2.239 -2.167 -4.302
-1.119 -1.084 -2.151
0.000 0.000 0.000
-3.358 -3.251 -6.454